A relaxed structure of SiSb, computed with PBE.

Unit cell a=6.168 b=6.168 c=7.315 alpha=71.24 beta=71.24 gamma=35.31
Element x y z (fractional)
Si (0.755, 0.755, 0.420)
Si (0.593, 0.593, 0.078)
Si (0.111, 0.111, 0.534)
Sb (0.268, 0.268, 0.102)
Sb (0.993, 0.993, 0.918)
Sb (0.447, 0.447, 0.448)

## Properties
total moment: 0.00 μB/f.u.
density of states at the Fermi level: 0.4475 states/eV per atom
space-group type: Cm
total DFT energy (no corrections): -4.409 eV/atom

A relaxed structure of KAc2CdTe4, computed with PBE.

Unit cell a=4.837 b=8.312 c=16.515 alpha=90.00 beta=90.00 gamma=106.92
Element x y z (fractional)
Te (0.732, 0.464, 0.617)
Te (0.268, 0.536, 0.383)
Te (0.000, 0.000, 0.500)
Te (0.449, 0.898, 0.750)
Te (0.268, 0.536, 0.117)
Te (0.000, 0.000, 0.000)
Te (0.551, 0.102, 0.250)
Te (0.732, 0.464, 0.883)
Ac (0.628, 0.257, 0.442)
Ac (0.372, 0.743, 0.942)
Ac (0.372, 0.743, 0.558)
Ac (0.628, 0.257, 0.058)
Cd (0.148, 0.296, 0.250)
Cd (0.852, 0.704, 0.750)
K (0.123, 0.247, 0.750)
K (0.877, 0.753, 0.250)

## Properties
total moment: 0.00 μB/f.u.
density of states at the Fermi level: 0.3352 states/eV per atom
space-group type: Cmcm
total DFT energy (no corrections): -4.032 eV/atom

A relaxed structure of Tl4AsAu, computed with PBE.

Unit cell a=7.486 b=8.385 c=8.385 alpha=118.53 beta=107.29 gamma=107.29
Element x y z (fractional)
Au (0.498, 0.502, 0.751)
Au (0.998, 0.751, 0.502)
Tl (0.813, 0.962, 0.102)
Tl (0.239, 0.041, 0.446)
Tl (0.739, 0.446, 0.041)
Tl (0.687, 0.895, 0.534)
Tl (0.313, 0.102, 0.962)
Tl (0.263, 0.559, 0.461)
Tl (0.763, 0.461, 0.559)
Tl (0.187, 0.534, 0.895)
As (0.999, 0.249, 0.999)
As (0.499, 0.999, 0.249)

## Properties
total moment: 0.00 μB/f.u.
offset from the most stable computed form: 0.000 eV/atom
formation energy: 22.4 meV/atom
density of states at the Fermi level: 0.4005 states/eV per atom
space-group type: Cc

A relaxed structure of RbYRh3, computed with PBE.

Unit cell a=5.131 b=5.131 c=5.131 alpha=90.00 beta=90.00 gamma=90.00
Site moments in Bohr magnetons follow the coordinates.
Element x y z (fractional)
Rh (0.000, 0.000, 0.500)  0.45
Rh (0.000, 0.500, 0.000)  0.41
Rh (0.500, 0.000, 0.000)  0.24
Y (0.000, 0.000, 0.000)  -0.06
Rb (0.500, 0.500, 0.500)  -0.01

## Properties
total moment: 0.98 μB/f.u.
offset from the most stable computed form: 0.000 eV/atom
formation energy: 899.0 meV/atom
density of states at the Fermi level: 0.7219 states/eV per atom
space-group type: Pm-3m

A relaxed structure of Nb3AgB, computed with PBE.

Unit cell a=4.869 b=4.869 c=4.869 alpha=90.00 beta=90.00 gamma=90.00
Element x y z (fractional)
Nb (0.000, 0.000, 0.500)
Nb (0.500, 0.000, 0.000)
Nb (0.000, 0.500, 0.000)
Ag (0.000, 0.000, 0.000)
B (0.500, 0.500, 0.500)

## Properties
total moment: 0.00 μB/f.u.
offset from the most stable computed form: 2.473 eV/atom
formation energy: 2585.7 meV/atom
density of states at the Fermi level: 1.5180 states/eV per atom
space-group type: Pm-3m

A relaxed structure of Sb3Mo, computed with PBE.

Unit cell a=5.091 b=5.091 c=5.713 alpha=79.06 beta=79.06 gamma=39.88
Element x y z (fractional)
Mo (0.000, 0.000, 0.000)
Sb (0.726, 0.726, 0.793)
Sb (0.500, 0.500, 0.500)
Sb (0.274, 0.274, 0.207)

## Properties
total moment: 0.00 μB/f.u.
offset from the most stable computed form: 0.244 eV/atom
density of states at the Fermi level: 0.9475 states/eV per atom
space-group type: C2/m

A relaxed structure of BeGa, computed with PBE.

Unit cell a=4.123 b=4.123 c=4.527 alpha=90.00 beta=90.00 gamma=120.00
Element x y z (fractional)
Ga (0.333, 0.667, 0.750)
Ga (0.667, 0.333, 0.250)
Be (0.667, 0.333, 0.750)
Be (0.333, 0.667, 0.250)

## Properties
total moment: 0.00 μB/f.u.
offset from the most stable computed form: 0.382 eV/atom
formation energy: 539.3 meV/atom
density of states at the Fermi level: 0.3249 states/eV per atom
space-group type: P6_3/mmc

A relaxed structure of Nb2Ga2Ir, computed with PBE.

Unit cell a=6.412 b=6.412 c=3.985 alpha=90.00 beta=90.00 gamma=90.00
Element x y z (fractional)
Nb (0.665, 0.835, 0.500)
Nb (0.335, 0.165, 0.500)
Nb (0.835, 0.335, 0.500)
Nb (0.165, 0.665, 0.500)
Ga (0.862, 0.638, 0.000)
Ga (0.138, 0.362, 0.000)
Ga (0.638, 0.138, 0.000)
Ga (0.362, 0.862, 0.000)
Ir (0.000, 0.000, 0.000)
Ir (0.500, 0.500, 0.000)

## Properties
total moment: 0.00 μB/f.u.
formation energy: -341.4 meV/atom
density of states at the Fermi level: 0.6954 states/eV per atom
space-group type: P4/mbm

A relaxed structure of YCr2Cl, computed with PBE.

Unit cell a=6.322 b=6.322 c=3.199 alpha=75.25 beta=75.25 gamma=131.54
Site moments in Bohr magnetons follow the coordinates.
Element x y z (fractional)
Cr (0.500, 0.500, 0.000)  1.56
Cr (0.000, 0.000, 0.000)  1.56
Y (0.500, 0.000, 0.500)  -0.03
Cl (0.000, 0.500, 0.500)  0.05

## Properties
total moment: 3.49 μB/f.u.
offset from the most stable computed form: 0.551 eV/atom
density of states at the Fermi level: 1.2306 states/eV per atom
space-group type: C2/m

A relaxed structure of SrGa9Rh2, computed with PBE.

Unit cell a=3.926 b=8.199 c=8.199 alpha=120.00 beta=90.00 gamma=90.00
Element x y z (fractional)
Ga (0.000, 0.500, 0.500)
Ga (0.500, 0.797, 0.595)
Ga (0.500, 0.203, 0.405)
Ga (0.500, 0.595, 0.797)
Ga (0.500, 0.797, 0.203)
Ga (0.000, 0.500, 0.000)
Ga (0.500, 0.405, 0.203)
Ga (0.500, 0.203, 0.797)
Ga (0.000, 0.000, 0.500)
Rh (0.000, 0.667, 0.333)
Rh (0.000, 0.333, 0.667)
Sr (0.000, 0.000, 0.000)

## Properties
total moment: 0.00 μB/f.u.
offset from the most stable computed form: 0.000 eV/atom
formation energy: -427.0 meV/atom
density of states at the Fermi level: 0.2030 states/eV per atom
space-group type: P6/mmm

A relaxed structure of Ba8HRh3Cl4, computed with PBE.

Unit cell a=8.891 b=9.480 c=8.892 alpha=117.98 beta=119.99 gamma=90.00
Element x y z (fractional)
H (0.000, 0.500, 0.000)
Rh (0.500, 0.500, 0.000)
Rh (0.500, 0.500, 0.500)
Rh (0.000, 0.500, 0.500)
Cl (0.500, 0.000, 0.500)
Cl (0.000, 0.000, 0.000)
Cl (0.000, 0.000, 0.500)
Cl (0.500, 0.000, 0.000)
Ba (0.241, 0.716, 0.974)
Ba (0.758, 0.284, 0.517)
Ba (0.742, 0.726, 0.484)
Ba (0.759, 0.284, 0.026)
Ba (0.267, 0.284, 0.026)
Ba (0.242, 0.716, 0.483)
Ba (0.258, 0.274, 0.516)
Ba (0.733, 0.716, 0.974)

## Properties
total moment: 0.00 μB/f.u.
density of states at the Fermi level: 0.4620 states/eV per atom
space-group type: R-3m
total DFT energy (no corrections): -4.073 eV/atom

A relaxed structure of LiDySb, computed with PBE.

Unit cell a=4.437 b=7.330 c=12.803 alpha=89.53 beta=90.00 gamma=90.00
Element x y z (fractional)
Li (0.250, 0.352, 0.197)
Li (0.750, 0.648, 0.803)
Li (0.750, 0.171, 0.549)
Li (0.250, 0.995, 0.096)
Li (0.750, 0.005, 0.904)
Li (0.250, 0.829, 0.451)
Dy (0.250, 0.987, 0.691)
Dy (0.250, 0.488, 0.626)
Dy (0.750, 0.657, 0.075)
Dy (0.750, 0.013, 0.309)
Dy (0.750, 0.512, 0.374)
Dy (0.250, 0.343, 0.925)
Sb (0.250, 0.724, 0.245)
Sb (0.750, 0.773, 0.567)
Sb (0.750, 0.224, 0.093)
Sb (0.750, 0.276, 0.755)
Sb (0.250, 0.776, 0.907)
Sb (0.250, 0.227, 0.433)

## Properties
total moment: 0.00 μB/f.u.
offset from the most stable computed form: 0.000 eV/atom
density of states at the Fermi level: 0.8233 states/eV per atom
space-group type: P2_1/m